[1]
NaLi2LaBi2: relaxed, PBE-GGA.

Output
VASP energy, eV/atom: -3.674
Spin magnetization, μB/f.u.: 0.00
Mass density, g/cm³: 6.24
Formation enthalpy at 0 K, eV/atom: -0.701

Lattice parameters (Å, degrees): 4.849 4.849 7.755 90.00 90.00 120.00
Fractional coordinates of all 6 atoms:
1 Na 0.000 0.000 0.000
2 Li 0.333 0.667 0.158
3 Li 0.667 0.333 0.842
4 La 0.000 0.000 0.500
5 Bi 0.333 0.667 0.746
6 Bi 0.667 0.333 0.254

=====

[2]
CeSmIr: relaxed, PBE-GGA.

Output
VASP energy, eV/atom: -7.070
Spin magnetization, μB/f.u.: 0.19
Mass density, g/cm³: 10.68
Polymorph energy (0 for the lowest one), eV per formula unit: 0.000
Formation enthalpy at 0 K, eV/atom: -0.565

Lattice parameters (Å, degrees): 7.354 7.354 4.806 90.00 90.00 120.00
Fractional coordinates of all 9 atoms:
1 Ce 0.000 0.744 0.000
2 Ce 0.256 0.256 0.000
3 Ce 0.744 0.000 0.000
4 Sm 0.000 0.416 0.500
5 Sm 0.416 0.000 0.500
6 Sm 0.584 0.584 0.500
7 Ir 0.000 0.000 0.500
8 Ir 0.333 0.667 0.000
9 Ir 0.667 0.333 0.000

=====

[3]
ReSi2Rh: relaxed, PBE-GGA.

Output
VASP energy, eV/atom: -7.905
Spin magnetization, μB/f.u.: 0.00
Mass density, g/cm³: 10.50
ΔE_f (raw), eV/atom: -0.244
Polymorph energy (0 for the lowest one), eV per formula unit: 0.813

Lattice parameters (Å, degrees): 5.215 5.215 5.215 146.95 134.67 57.24
Fractional coordinates of all 4 atoms:
1 Re 0.000 0.000 0.000
2 Si 0.494 0.494 0.000
3 Si 0.760 0.260 0.500
4 Rh 0.270 0.770 0.500

=====

[4]
YB3S: relaxed, PBE-GGA.

Output
VASP energy, eV/atom: -3.664
Spin magnetization, μB/f.u.: 0.00
Mass density, g/cm³: 2.28
ΔE_f (raw), eV/atom: 2.461
Polymorph energy (0 for the lowest one), eV per formula unit: 7.054

Lattice parameters (Å, degrees): 4.817 4.817 4.817 90.00 90.00 90.00
Fractional coordinates of all 5 atoms:
1 Y 0.000 0.000 0.000
2 B 0.000 0.000 0.500
3 B 0.000 0.500 0.000
4 B 0.500 0.000 0.000
5 S 0.500 0.500 0.500

=====

[5]
LiSbMo3: relaxed, PBE-GGA.

Output
VASP energy, eV/atom: -5.737
Spin magnetization, μB/f.u.: 0.00
Mass density, g/cm³: 5.69
ΔE_f (raw), eV/atom: 1.969
Polymorph energy (0 for the lowest one), eV per formula unit: 4.040

Lattice parameters (Å, degrees): 4.954 4.954 4.954 90.00 90.00 90.00
Fractional coordinates of all 5 atoms:
1 Li 0.000 0.000 0.000
2 Sb 0.500 0.500 0.500
3 Mo 0.000 0.500 0.500
4 Mo 0.500 0.000 0.500
5 Mo 0.500 0.500 0.000

=====

[6]
LiU2Pd9: relaxed, PBE-GGA.

Output
VASP energy, eV/atom: -6.412
Spin magnetization, μB/f.u.: 2.82
Mass density, g/cm³: 11.91
Formation enthalpy at 0 K, eV/atom: -0.477

Lattice parameters (Å, degrees): 4.104 4.104 11.932 90.00 90.00 90.00
Fractional coordinates of all 12 atoms:
1 Li 0.000 0.000 0.000
2 U 0.000 0.000 0.321
3 U 0.000 0.000 0.679
4 Pd 0.000 0.500 0.161
5 Pd 0.000 0.500 0.500
6 Pd 0.000 0.500 0.839
7 Pd 0.500 0.000 0.161
8 Pd 0.500 0.000 0.500
9 Pd 0.500 0.000 0.839
10 Pd 0.500 0.500 0.000
11 Pd 0.500 0.500 0.331
12 Pd 0.500 0.500 0.669